# 1
## PrInCo2H8 (PBE-GGA)

Data for a relaxed PrInCo2H8 crystal.

a b c (Å): 4.327 4.327 6.620
angles (deg): 90.00 90.00 120.00
Element x y z (fractional)
Pr 0.000 0.000 0.000
In 0.000 0.000 0.500
Co 0.333 0.667 0.703
Co 0.667 0.333 0.297
H 0.048 0.648 0.276
H 0.333 0.667 0.934
H 0.352 0.400 0.276
H 0.400 0.048 0.724
H 0.600 0.952 0.276
H 0.648 0.600 0.724
H 0.667 0.333 0.066
H 0.952 0.352 0.724

Computed properties:
* calculated total energy: -4.04 eV/atom
* V: 107.36 Å³/cell
* theoretical density: 5.903 Mg/m³
* crystal system: trigonal

***

# 2
## PmTm3Tc (PBE-GGA)

Data for a relaxed PmTm3Tc crystal.

a b c (Å): 8.547 3.738 8.706
angles (deg): 90.00 102.10 90.00
Element x y z (fractional)
Pm 0.170 0.250 0.013
Pm 0.830 0.750 0.987
Tm 0.025 0.750 0.663
Tm 0.345 0.750 0.388
Tm 0.422 0.750 0.817
Tm 0.578 0.250 0.183
Tm 0.655 0.250 0.612
Tm 0.975 0.250 0.337
Tc 0.264 0.250 0.597
Tc 0.736 0.750 0.403

Computed properties:
* ΔH_f (0 K): -0.0892 eV per atom
* ΔE to the lowest computed polymorph: 0 meV per atom
* V: 271.95 Å³/cell
* theoretical density: 9.157 Mg/m³
* crystal system: monoclinic

***

# 3
## Sm2HoCr2C4 (PBE-GGA)

Data for a relaxed Sm2HoCr2C4 crystal.

a b c (Å): 6.833 6.833 6.021
angles (deg): 108.46 108.46 29.28
Element x y z (fractional)
Sm 0.134 0.134 0.042
Sm 0.866 0.866 0.958
Ho 0.000 0.000 0.500
Cr 0.320 0.320 0.503
Cr 0.680 0.680 0.497
C 0.214 0.214 0.676
C 0.450 0.450 0.734
C 0.550 0.550 0.266
C 0.786 0.786 0.324

Computed properties:
* ΔH_f (0 K): -0.1169 eV per atom
* V: 129.91 Å³/cell
* theoretical density: 7.895 Mg/m³
* crystal system: monoclinic

***

# 4
## ZrFe2TeI (PBE-GGA)

Data for a relaxed ZrFe2TeI crystal.

a b c (Å): 5.295 5.295 5.411
angles (deg): 90.00 90.00 90.00
Element x y z (fractional)
Zr 0.000 0.000 0.000
Fe 0.000 0.500 0.000
Fe 0.500 0.000 0.000
Te 0.000 0.000 0.500
I 0.500 0.500 0.500

Computed properties:
* uncorrected formation energy: 1.099 eV per atom
* V: 151.70 Å³/cell
* theoretical density: 5.007 Mg/m³
* crystal system: tetragonal

***

# 5
## TlNiHg2 (PBE-GGA)

Data for a relaxed TlNiHg2 crystal.

a b c (Å): 5.695 10.772 3.386
angles (deg): 90.00 121.73 90.00
Element x y z (fractional)
Tl 0.000 0.000 0.000
Tl 0.500 0.500 0.000
Ni 0.000 0.500 0.000
Ni 0.500 0.000 0.000
Hg 0.250 0.250 0.000
Hg 0.250 0.750 0.000
Hg 0.750 0.250 0.000
Hg 0.750 0.750 0.000

Computed properties:
* ΔH_f (0 K): 0.3699 eV per atom
* ΔE to the lowest computed polymorph: 229 meV per atom
* V: 176.69 Å³/cell
* theoretical density: 12.486 Mg/m³
* crystal system: monoclinic

***

# 6
## Ac2PuNi3Ge4 (PBE-GGA)

Data for a relaxed Ac2PuNi3Ge4 crystal.

a b c (Å): 4.336 4.336 11.082
angles (deg): 90.00 90.00 90.00
Element x y z (fractional)
Ac 0.000 0.500 0.227
Ac 0.500 0.000 0.773
Pu 0.000 0.000 0.500
Ni 0.000 0.500 0.892
Ni 0.500 0.000 0.108
Ni 0.500 0.500 0.500
Ge 0.000 0.000 0.000
Ge 0.000 0.500 0.671
Ge 0.500 0.000 0.329
Ge 0.500 0.500 0.000

Computed properties:
* ΔH_f (0 K): -0.4908 eV per atom
* V: 208.39 Å³/cell
* theoretical density: 9.280 Mg/m³
* crystal system: tetragonal

***

> Which value of theoretical density does entry 3 give?

7.895 Mg/m³

***

> Which of these has the highest theoretical density?

TlNiHg2

***

> Which value of theoretical density does entry 5 give?

12.486 Mg/m³